Entry 1:
Here is LaFeSb3 after structural relaxation from Alexandria via LeMat-Bulk. Energies are from GGA-PBE.

Unit cell a=5.9943 b=5.9943 c=5.9943 alpha=90.00 beta=90.00 gamma=90.00
With the nearest neighbours (Å) after each atom.
Sites, in units of the cell vectors:
Sb1 0.0000 0.5000 0.0000  2 La 3.00
Sb2 0.0000 0.0000 0.5000  2 La 3.00
Sb3 0.5000 0.0000 0.0000  2 La 3.00
Fe1 0.5000 0.5000 0.5000  12 Sb 4.24
La1 0.0000 0.0000 0.0000  6 Sb 3.00

Raw total energy: -4.004 eV/atom
E_form (uncorrected): 1148 meV/atom

---

Entry 2:
Here is Sc2BeAu after structural relaxation from Alexandria via LeMat-Bulk. Energies are from GGA-PBE.

Unit cell a=5.2500 b=5.2500 c=5.2500 alpha=135.02 beta=135.02 gamma=65.50
With the nearest neighbours (Å) after each atom.
Sites, in units of the cell vectors:
Sc1 0.0000 0.0000 0.0000  4 Au 2.84, 4 Be 2.98, 4 Sc 2.98
Sc2 0.2500 0.7500 0.5000  4 Be 2.84, 4 Sc 2.98, 4 Au 2.98
Be1 0.7500 0.2500 0.5000  8 Sc 2.84-2.98, 4 Au 2.98
Au1 0.5000 0.5000 0.0000  8 Sc 2.84-2.98, 4 Be 2.98

Raw total energy: -5.120 eV/atom

---

Entry 3:
Here is WBr2Cl after structural relaxation from Alexandria via LeMat-Bulk. Energies are from GGA-PBE.

Unit cell a=3.4598 b=3.4598 c=10.1900 alpha=90.00 beta=90.00 gamma=127.11
With the nearest neighbours (Å) after each atom.
Sites, in units of the cell vectors:
Br1 0.0000 0.0000 0.9506  2 W 2.56
Br2 0.0000 0.0000 0.5494  2 W 2.56
W1 0.5000 0.5000 0.7500  4 Br 2.56
Cl1 0.5000 0.5000 0.2500  2 Cl 3.08, 4 Br 3.42

Energy above the most stable polymorph in this dataset: 686.9 meV/atom
Raw total energy: -4.107 eV/atom
E_form (uncorrected): 430 meV/atom

---

Entry 4:
Here is YCu after structural relaxation from Alexandria via LeMat-Bulk. Energies are from GGA-PBE.

Unit cell a=5.0683 b=5.0683 c=7.6610 alpha=90.00 beta=90.00 gamma=120.00
With the nearest neighbours (Å) after each atom.
Sites, in units of the cell vectors:
Y1 0.0000 0.0000 0.2500  3 Y 2.93, 6 Cu 3.16
Y2 0.0000 0.0000 0.7500  3 Y 2.93, 6 Cu 3.16
Y3 0.3333 0.6667 0.7500  2 Cu 2.65, 3 Y 2.93
Y4 0.6667 0.3333 0.2500  2 Cu 2.65, 3 Y 2.93
Cu1 0.3333 0.6667 0.0954  1 Cu 2.37, 1 Y 2.65
Cu2 0.6667 0.3333 0.5954  1 Cu 2.37, 1 Y 2.65
Cu3 0.6667 0.3333 0.9046  1 Cu 2.37, 1 Y 2.65
Cu4 0.3333 0.6667 0.4046  1 Cu 2.37, 1 Y 2.65

Raw total energy: -4.995 eV/atom

---

Entry 5:
Here is Tb2Ce4Ge3O2 after structural relaxation from Alexandria via LeMat-Bulk. Energies are from GGA-PBE.

Unit cell a=4.6222 b=4.6222 c=12.5112 alpha=100.64 beta=100.64 gamma=90.00
With the nearest neighbours (Å) after each atom.
Sites, in units of the cell vectors:
Tb1 0.2989 0.2989 0.5979  1 O 2.33
Tb2 0.7011 0.7011 0.4021  1 O 2.33
Ce1 0.4184 0.9184 0.8368  2 O 2.38
Ce2 0.9184 0.4184 0.8368  2 O 2.38
Ce3 0.0816 0.5816 0.1632  2 O 2.38
Ce4 0.5816 0.0816 0.1632  2 O 2.38
Ge1 0.0000 0.0000 0.0000  8 Ce 3.04
Ge2 0.1756 0.1756 0.3512  5 Tb 2.98-3.33, 4 Ce 3.24
Ge3 0.8244 0.8244 0.6488  5 Tb 2.98-3.33, 4 Ce 3.24
O1 0.3956 0.3956 0.7911  1 Tb 2.33, 4 Ce 2.38
O2 0.6044 0.6044 0.2089  1 Tb 2.33, 4 Ce 2.38

Raw total energy: -6.599 eV/atom
E_form (uncorrected): -1439 meV/atom

---

Entry 6:
Here is CsPr2NpSe5 after structural relaxation from Alexandria via LeMat-Bulk. Energies are from GGA-PBE.

Unit cell a=5.3171 b=7.6723 c=8.7062 alpha=116.14 beta=107.78 gamma=90.00
With the nearest neighbours (Å) after each atom.
Sites, in units of the cell vectors:
Cs1 0.0000 0.5000 0.0000  10 Se 3.84-4.05
Pr1 0.2059 0.2059 0.4118  3 Se 2.91-3.03
Pr2 0.7941 0.7941 0.5882  3 Se 2.91-3.03
Np1 0.5000 0.0000 0.0000  6 Se 2.66-2.87
Se1 0.6536 0.9217 0.3072  1 Np 2.87, 1 Pr 2.91
Se2 0.3464 0.0783 0.6928  1 Np 2.87, 1 Pr 2.91
Se3 0.3464 0.6145 0.6928  1 Np 2.87, 1 Pr 2.91
Se4 0.6536 0.3855 0.3072  1 Np 2.87, 1 Pr 2.91
Se5 0.0000 0.0000 0.0000  2 Np 2.66

Raw total energy: -6.054 eV/atom
E_form (uncorrected): -1523 meV/atom

---

Q: The highest raw total energy belongs to which entry?
A: LaFeSb3

---

Q: Which value of raw total energy does entry 5 give?
A: -6.599 eV/atom

---

Q: What is the raw total energy in the fourth record?
A: -4.995 eV/atom

---

Q: Which value of raw total energy does entry 2 give?
A: -5.120 eV/atom